Entry 1:
## ErTm8Mg6 (GGA-PBE)

Data for an optimized crystal structure of ErTm8Mg6.

POSCAR file:
```
ErTm8Mg6
1.0
4.5045 2.6007 6.3731
-4.5045 2.6007 6.3731
0.0000 -5.2014 6.3731
Er Tm Mg
1 8 6
Direct
0.0000 0.0000 0.0000 Er
0.1171 0.4499 0.7827 Tm
0.2173 0.8829 0.5501 Tm
0.3372 0.3372 0.3372 Tm
0.4499 0.7827 0.1171 Tm
0.5501 0.2173 0.8829 Tm
0.6628 0.6628 0.6628 Tm
0.7827 0.1171 0.4499 Tm
0.8829 0.5501 0.2173 Tm
0.0464 0.7157 0.3833 Mg
0.2843 0.6167 0.9536 Mg
0.3833 0.0464 0.7157 Mg
0.6167 0.9536 0.2843 Mg
0.7157 0.3833 0.0464 Mg
0.9536 0.2843 0.6167 Mg
```

**Mass density**: 6.2 g/cm3
**Formation enthalpy at 0 K**: 0.220 eV/atom
**E**: -3.11 eV per atom
**Crystal system**: trigonal


Entry 2:
## Li5Mg8Cd (GGA-PBE)

Data for an optimized crystal structure of Li5Mg8Cd.

POSCAR file:
```
Li5Mg8Cd
1.0
-4.1679 4.1679 4.4898
4.1679 -4.1679 4.4898
4.1679 4.1679 -4.4898
Li Mg Cd
5 8 1
Direct
0.0000 0.0000 0.0000 Li
0.2180 0.5402 0.9122 Li
0.4598 0.3721 0.6779 Li
0.6279 0.3058 0.0878 Li
0.6942 0.7820 0.3221 Li
0.1593 0.0754 0.7379 Mg
0.3375 0.4214 0.2621 Mg
0.4244 0.0292 0.2573 Mg
0.5786 0.8407 0.9161 Mg
0.7719 0.1670 0.7427 Mg
0.8330 0.5756 0.6048 Mg
0.9246 0.6625 0.0839 Mg
0.9708 0.2281 0.3952 Mg
0.2500 0.7500 0.5000 Cd
```

**Mass density**: 1.8 g/cm3
**Formation enthalpy at 0 K**: 0.057 eV/atom
**E**: -1.60 eV per atom
**Crystal system**: tetragonal


Entry 3:
## ZrBiB3 (GGA-PBE)

Data for an optimized crystal structure of ZrBiB3.

POSCAR file:
```
ZrBiB3
1.0
4.5307 0.0000 0.0000
0.0000 4.5307 0.0000
0.0000 0.0000 4.5307
Zr Bi B
1 1 3
Direct
0.0000 0.0000 0.0000 Zr
0.5000 0.5000 0.5000 Bi
0.0000 0.5000 0.5000 B
0.5000 0.0000 0.5000 B
0.5000 0.5000 0.0000 B
```

**Mass density**: 5.9 g/cm3
**Formation enthalpy at 0 K**: 2.250 eV/atom
**E**: -4.24 eV per atom
**Crystal system**: cubic
**Polymorph energy (0 for the lowest one)**: 733 meV/atom


Entry 4:
## Zn2AgF6 (GGA-PBE)

Data for an optimized crystal structure of Zn2AgF6.

POSCAR file:
```
Zn2AgF6
1.0
5.3738 0.0000 0.0000
-2.6869 4.6539 0.0000
0.0000 0.0000 4.7810
Zn Ag F
2 1 6
Direct
0.3333 0.6667 0.0000 Zn
0.6667 0.3333 0.0000 Zn
0.0000 0.0000 0.5000 Ag
0.0000 0.3511 0.7728 F
0.0000 0.6489 0.2272 F
0.3511 0.0000 0.7728 F
0.3511 0.3511 0.2272 F
0.6489 0.0000 0.2272 F
0.6489 0.6489 0.7728 F
```

**Mass density**: 4.9 g/cm3
**E**: -3.73 eV per atom
**Crystal system**: trigonal